First-principles (GGA-PBE) data for a relaxed K3Ir crystal, as listed in OQMD via LeMat-Bulk.

Lattice parameters (Å, degrees): 9.710 9.710 10.075 90.00 90.00 120.00
Fractional coordinates of all 24 atoms:
K: 0.000 0.000 0.000
K: 0.000 0.000 0.500
K: 0.000 0.286 0.770
K: 0.000 0.375 0.108
K: 0.000 0.625 0.608
K: 0.000 0.714 0.270
K: 0.286 0.000 0.770
K: 0.286 0.286 0.270
K: 0.333 0.667 0.403
K: 0.333 0.667 0.903
K: 0.375 0.000 0.108
K: 0.375 0.375 0.608
K: 0.625 0.000 0.608
K: 0.625 0.625 0.108
K: 0.667 0.333 0.403
K: 0.667 0.333 0.903
K: 0.714 0.000 0.270
K: 0.714 0.714 0.770
Ir: 0.000 0.327 0.438
Ir: 0.000 0.673 0.938
Ir: 0.327 0.000 0.438
Ir: 0.327 0.327 0.938
Ir: 0.673 0.000 0.938
Ir: 0.673 0.673 0.438

Calculated values
- energy (eV per atom) = -2.38
- mass density (g/cm3) = 3.7
- offset from the most stable computed form (meV per atom) = 140
- total moment (μB per cell) = 0.02